## CoAs2SeO (PBE with a Hubbard U)

Data for an optimized crystal structure of CoAs2SeO.

Properties
electronic total energy = -20.0 eV per cell
M_tot = 2.34 μB/f.u.

Cell lengths 4.1738, 4.1738, 4.5938 Å; angles 90.00, 90.00, 90.00 degrees
With the nearest neighbours (Å) after each atom.
Space group P4/mmm (No. 123)
Unique sites:
Co 0.0000 0.0000 0.0000 x1  4 Se 2.95, 8 As 3.10
As 0.0000 0.5000 0.5000 x2  2 O 2.09
Se 0.5000 0.5000 0.0000 x1  2 O 2.30
O 0.5000 0.5000 0.5000 x1  4 As 2.09, 2 Se 2.30